[1]
Material: Nb3AlBi
Method: DFT, PBE
State: relaxed

Cell: 4.798 4.798 4.798 Å, 90.00 90.00 90.00°
Last column: magnetic moment on the atom in μB.
Sites, in units of the cell vectors:
1 Nb 0.000 0.000 0.500  0.27
2 Nb 0.000 0.500 0.000  0.32
3 Nb 0.500 0.000 0.000  0.32
4 Bi 0.500 0.500 0.500  -0.01
5 Al 0.000 0.000 0.000  0.02

Values from the calculation:
Mass density (g/cm³): 7.74
Calculated formation energy (eV/atom): 0.981
Polymorph energy (0 for the lowest one) (eV per atom): 0.000
Uncorrected energy (eV per formula unit): -32.9


[2]
Material: Nb2AlBi
Method: DFT, PBE
State: relaxed

Cell: 4.088 4.088 10.586 Å, 78.87 78.87 90.00°
Sites, in units of the cell vectors:
1 Al 0.250 0.750 0.500
2 Al 0.500 0.500 0.000
3 Nb 0.875 0.850 0.750
4 Nb 0.375 0.400 0.750
5 Nb 0.150 0.625 0.250
6 Nb 0.600 0.125 0.250
7 Bi 0.750 0.250 0.500
8 Bi 0.000 0.000 0.000

Values from the calculation:
Mass density (g/cm³): 8.23
Calculated formation energy (eV/atom): 0.400
Polymorph energy (0 for the lowest one) (eV per atom): 0.119
Uncorrected energy (eV per formula unit): -26.2


[3]
Material: Nb3AlBi
Method: DFT, PBE
State: relaxed

Cell: 5.130 5.130 5.130 Å, 90.00 90.00 90.00°
Sites, in units of the cell vectors:
1 Nb 0.000 0.500 0.000
2 Nb 0.500 0.000 0.000
3 Nb 0.000 0.000 0.500
4 Bi 0.000 0.000 0.000
5 Al 0.500 0.500 0.500

Values from the calculation:
Mass density (g/cm³): 6.33
Calculated formation energy (eV/atom): 1.851
Polymorph energy (0 for the lowest one) (eV per atom): 0.869
Uncorrected energy (eV per formula unit): -28.6


[4]
Material: Nb2AlBi2
Method: DFT, PBE
State: relaxed

Cell: 3.838 3.838 9.009 Å, 77.70 77.70 90.00°
Sites, in units of the cell vectors:
1 Nb 0.750 0.250 0.500
2 Nb 0.250 0.750 0.500
3 Bi 0.389 0.389 0.221
4 Bi 0.611 0.611 0.779
5 Al 0.000 0.000 0.000

Values from the calculation:
Mass density (g/cm³): 8.28
Calculated formation energy (eV/atom): 0.408
Polymorph energy (0 for the lowest one) (eV per atom): 0.000
Uncorrected energy (eV per formula unit): -29.6


[5]
Material: NbAl2Bi
Method: DFT, PBE
State: relaxed

Cell: 7.852 7.852 6.248 Å, 51.08 51.08 90.00°
Sites, in units of the cell vectors:
1 Al 0.875 0.854 0.750
2 Al 0.146 0.625 0.250
3 Al 0.604 0.125 0.250
4 Al 0.375 0.396 0.750
5 Bi 0.000 0.000 0.000
6 Bi 0.750 0.250 0.500
7 Nb 0.500 0.500 0.000
8 Nb 0.250 0.750 0.500

Values from the calculation:
Mass density (g/cm³): 6.69
Calculated formation energy (eV/atom): 0.513
Uncorrected energy (eV per formula unit): -19.4


[6]
Material: Nb2AlBi2
Method: DFT, PBE
State: relaxed

Cell: 8.026 8.026 3.551 Å, 90.00 90.00 90.00°
Sites, in units of the cell vectors:
1 Bi 0.352 0.852 0.000
2 Bi 0.648 0.148 0.000
3 Bi 0.148 0.352 0.000
4 Bi 0.852 0.648 0.000
5 Al 0.000 0.000 0.000
6 Al 0.500 0.500 0.000
7 Nb 0.648 0.852 0.500
8 Nb 0.352 0.148 0.500
9 Nb 0.148 0.648 0.500
10 Nb 0.852 0.352 0.500

Values from the calculation:
Mass density (g/cm³): 9.16
Calculated formation energy (eV/atom): 0.559
Polymorph energy (0 for the lowest one) (eV per atom): 0.151
Uncorrected energy (eV per formula unit): -28.8


[7]
Material: Nb2AlBi
Method: DFT, PBE
State: relaxed

Cell: 4.792 4.792 4.792 Å, 60.00 60.00 60.00°
Sites, in units of the cell vectors:
1 Nb 0.250 0.250 0.250
2 Nb 0.750 0.750 0.750
3 Al 0.000 0.000 0.000
4 Bi 0.500 0.500 0.500

Values from the calculation:
Mass density (g/cm³): 9.00
Calculated formation energy (eV/atom): 0.281
Polymorph energy (0 for the lowest one) (eV per atom): 0.000
Uncorrected energy (eV per formula unit): -26.6


[8]
Material: NbAlBiO6
Method: DFT, PBE
State: relaxed

Cell: 4.765 5.190 5.190 Å, 120.00 90.00 90.00°
Sites, in units of the cell vectors:
1 O 0.279 0.321 0.297
2 O 0.721 0.977 0.297
3 O 0.721 0.703 0.679
4 O 0.279 0.977 0.679
5 O 0.721 0.321 0.023
6 O 0.279 0.703 0.023
7 Bi 0.000 0.333 0.667
8 Nb 0.500 0.667 0.333
9 Al 0.500 0.000 0.000

Values from the calculation:
Mass density (g/cm³): 6.35
Uncorrected energy (eV per formula unit): -66.4


[9]
Material: NbAlBiSb2
Method: DFT, PBE
State: relaxed

Cell: 5.266 5.043 5.266 Å, 90.00 90.00 90.00°
Last column: magnetic moment on the atom in μB.
Sites, in units of the cell vectors:
1 Sb 0.500 0.000 0.000  -0.03
2 Sb 0.000 0.000 0.500  -0.03
3 Al 0.000 0.000 0.000  0.01
4 Nb 0.000 0.500 0.000  1.74
5 Bi 0.500 0.500 0.500  -0.09

Values from the calculation:
Mass density (g/cm³): 6.80
Uncorrected energy (eV per formula unit): -21.8


[10]
Material: Nb2AlSiBi
Method: DFT, PBE
State: relaxed

Cell: 5.238 5.153 5.238 Å, 90.00 90.00 90.00°
Sites, in units of the cell vectors:
1 Nb 0.000 0.000 0.500
2 Nb 0.500 0.000 0.000
3 Bi 0.000 0.000 0.000
4 Si 0.000 0.500 0.000
5 Al 0.500 0.500 0.500

Values from the calculation:
Mass density (g/cm³): 5.28
Uncorrected energy (eV per formula unit): -23.8


[11]
Material: NbAlBiW2
Method: DFT, PBE
State: relaxed

Cell: 5.016 4.893 5.016 Å, 90.00 90.00 90.00°
Sites, in units of the cell vectors:
1 Bi 0.000 0.000 0.000
2 Nb 0.500 0.500 0.500
3 Al 0.000 0.500 0.000
4 W 0.500 0.000 0.000
5 W 0.000 0.000 0.500

Values from the calculation:
Mass density (g/cm³): 9.40
Calculated formation energy (eV/atom): 2.742
Uncorrected energy (eV per formula unit): -29.9


[12]
Material: NdAlBi2
Method: DFT, PBE
State: relaxed

Cell: 4.666 4.908 4.908 Å, 90.00 90.00 90.00°
Sites, in units of the cell vectors:
1 Al 0.500 0.000 0.000
2 Bi 0.000 0.500 0.000
3 Bi 0.000 0.000 0.500
4 Nd 0.500 0.500 0.500

Values from the calculation:
Mass density (g/cm³): 8.70
Calculated formation energy (eV/atom): -0.330
Uncorrected energy (eV per formula unit): -17.6